A) {
  "formula": "RePt2",
  "functional": "PBE",
  "state": "relaxed",
  "lattice_angstrom": [[6.093, 0.000, 0.000], [0.000, 6.093, 0.000], [0.000, 0.000, 6.093]],
  "species": ["Re", "Re", "Re", "Re", "Pt", "Pt", "Pt", "Pt", "Pt", "Pt", "Pt", "Pt"],
  "fractional_positions": [[0.500, 0.500, 0.000], [0.000, 0.000, 0.000], [0.000, 0.500, 0.500], [0.500, 0.000, 0.500], [0.878, 0.378, 0.122], [0.122, 0.878, 0.378], [0.122, 0.622, 0.878], [0.878, 0.122, 0.622], [0.622, 0.622, 0.622], [0.378, 0.122, 0.878], [0.378, 0.378, 0.378], [0.622, 0.878, 0.122]],
  "magnetic_moment_mub_per_cell": 0.000,
  "spacegroup": "Pa-3 (205)"
}

=====

B) {
  "formula": "RePt2",
  "functional": "PBE",
  "state": "relaxed",
  "lattice_angstrom": [[-0.085, 2.148, -3.924], [-3.392, 0.467, 2.881], [1.233, 2.084, 1.114]],
  "species": ["Pt", "Pt", "Re"],
  "fractional_positions": [[0.333, 0.667, 0.000], [0.667, 0.333, 0.000], [0.000, 0.000, 0.500]],
  "magnetic_moment_mub_per_cell": 0.000,
  "spacegroup": "P6/mmm (191)"
}

=====

Energetically preferred structure: B) | next structure: +0.703 eV/atom